Entry A
## Cd2Cu2As (PBE-GGA)

Data for Cd2Cu2As after structural relaxation.

Values from the calculation:
As for the crystal system: tetragonal. The density is 7.99 Mg/m³.

Cell: 7.7150 7.7150 2.9798 Å, 90.00 90.00 90.00°
Fractional positions:
Cd  0.1792  0.3208  0.0000
Cd  0.3208  0.8208  0.0000
Cd  0.6792  0.1792  0.0000
Cd  0.8208  0.6792  0.0000
Cu  0.1156  0.6156  0.5000
Cu  0.3844  0.1156  0.5000
Cu  0.6156  0.8844  0.5000
Cu  0.8844  0.3844  0.5000
As  0.0000  0.0000  0.5000
As  0.5000  0.5000  0.5000

***

Entry B
## Cd2Cu2As (PBE-GGA)

Data for Cd2Cu2As after structural relaxation.

Values from the calculation:
As for the crystal system: tetragonal. The density is 7.81 Mg/m³.

Cell: 7.9639 7.9639 2.8615 Å, 90.00 90.00 90.00°
Fractional positions:
Cd  0.1813  0.3187  0.0000
Cd  0.3187  0.8187  0.0000
Cd  0.6813  0.1813  0.0000
Cd  0.8187  0.6813  0.0000
Cu  0.1115  0.6115  0.5000
Cu  0.3885  0.1115  0.5000
Cu  0.6115  0.8885  0.5000
Cu  0.8885  0.3885  0.5000
As  0.0000  0.0000  0.0000
As  0.5000  0.5000  0.0000

***

Which structure is the most stable? The one labeled entry A.

***

Entry A
## Cd3CuAs (PBE-GGA)

Data for Cd3CuAs after structural relaxation.

Values from the calculation:
As for the crystal system: cubic. The density is 5.21 Mg/m³.

Cell: 5.3310 5.3310 5.3310 Å, 90.00 90.00 90.00°
Fractional positions:
Cd  0.0000  0.0000  0.5000
Cd  0.0000  0.5000  0.0000
Cd  0.5000  0.0000  0.0000
Cu  0.5000  0.5000  0.5000
As  0.0000  0.0000  0.0000

***

Entry B
## Cd3CuAs (PBE-GGA)

Data for Cd3CuAs after structural relaxation.

Values from the calculation:
As for the crystal system: cubic. The density is 6.51 Mg/m³.

Cell: 4.9515 4.9515 4.9515 Å, 90.00 90.00 90.00°
Fractional positions:
Cd  0.0000  0.0000  0.5000
Cd  0.0000  0.5000  0.0000
Cd  0.5000  0.0000  0.0000
Cu  0.0000  0.0000  0.0000
As  0.5000  0.5000  0.5000

***

Which structure is the most stable? The one labeled entry B.

***

Entry A
## CdCuAs2Se (PBE-GGA)

Data for CdCuAs2Se after structural relaxation.

Values from the calculation:
As for the crystal system: tetragonal. The density is 5.32 Mg/m³.

Cell: 5.1218 5.1218 4.8135 Å, 90.00 90.00 90.00°
Fractional positions:
Cd  0.0000  0.0000  0.0000
Cu  0.0000  0.0000  0.5000
As  0.0000  0.5000  0.0000
As  0.5000  0.0000  0.0000
Se  0.5000  0.5000  0.5000

***

Entry B
## CdCuAs2Se (PBE-GGA)

Data for CdCuAs2Se after structural relaxation.

Values from the calculation:
As for the crystal system: tetragonal. The density is 6.05 Mg/m³.

Cell: 4.7003 4.7003 5.0275 Å, 90.00 90.00 90.00°
Fractional positions:
Cd  0.0000  0.0000  0.0000
Cu  0.5000  0.5000  0.5000
As  0.0000  0.5000  0.5000
As  0.5000  0.0000  0.5000
Se  0.5000  0.5000  0.0000

***

Which structure is the most stable? The one labeled entry B.

***

Entry A
## CdCuAsSe2 (PBE-GGA)

Data for CdCuAsSe2 after structural relaxation.

Values from the calculation:
As for the crystal system: tetragonal. The density is 4.81 Mg/m³.

Cell: 5.2629 5.2629 5.0997 Å, 90.00 90.00 90.00°
Fractional positions:
Cd  0.0000  0.0000  0.0000
Cu  0.5000  0.5000  0.5000
As  0.0000  0.0000  0.5000
Se  0.0000  0.5000  0.0000
Se  0.5000  0.0000  0.0000

***

Entry B
## CdCuAsSe2 (PBE-GGA)

Data for CdCuAsSe2 after structural relaxation.

Values from the calculation:
As for the crystal system: tetragonal. The density is 5.99 Mg/m³.

Cell: 5.0129 5.0129 4.5136 Å, 90.00 90.00 90.00°
Fractional positions:
Cd  0.0000  0.0000  0.0000
Cu  0.5000  0.5000  0.5000
As  0.5000  0.5000  0.0000
Se  0.0000  0.5000  0.5000
Se  0.5000  0.0000  0.5000

***

Which structure is the most stable? The one labeled entry B.

***

Entry A
## Eu2Cd2As3 (PBE-GGA)

Data for Eu2Cd2As3 after structural relaxation.

Values from the calculation:
As for the crystal system: monoclinic. The density is 6.97 Mg/m³.

Cell: 8.4051 8.4051 12.3517 Å, 124.71 124.71 30.63°
Fractional positions:
Eu  0.1038  0.1038  0.4513
Eu  0.2305  0.2305  0.8280
Eu  0.7695  0.7695  0.1720
Eu  0.8962  0.8962  0.5487
Cd  0.0918  0.0918  0.1609
Cd  0.4510  0.4510  0.1838
Cd  0.5490  0.5490  0.8162
Cd  0.9082  0.9082  0.8391
As  0.1309  0.1309  0.9757
As  0.3371  0.3371  0.6786
As  0.4157  0.4157  0.3798
As  0.5843  0.5843  0.6202
As  0.6629  0.6629  0.3214
As  0.8691  0.8691  0.0243

***

Entry B
## Eu2Cd2As3 (PBE-GGA)

Data for Eu2Cd2As3 after structural relaxation.

Values from the calculation:
As for the crystal system: monoclinic. The density is 6.69 Mg/m³.

Cell: 8.3521 8.3521 8.5782 Å, 108.44 108.44 41.64°
Fractional positions:
Eu  0.0454  0.0454  0.2664
Eu  0.3481  0.3481  0.9906
Eu  0.6519  0.6519  0.0094
Eu  0.9546  0.9546  0.7336
Cd  0.2676  0.2676  0.5566
Cd  0.4008  0.4008  0.3904
Cd  0.5992  0.5992  0.6096
Cd  0.7324  0.7324  0.4434
As  0.1461  0.1461  0.7266
As  0.1538  0.1538  0.0242
As  0.4537  0.4537  0.7434
As  0.5463  0.5463  0.2566
As  0.8462  0.8462  0.9758
As  0.8539  0.8539  0.2734

***

Which structure is the most stable? The one labeled entry A.

***

Entry A
## CdAsF2 (PBE-GGA)

Data for CdAsF2 after structural relaxation.

Values from the calculation:
As for the crystal system: tetragonal. The density is 5.90 Mg/m³.

Cell: 6.7681 6.7681 5.5386 Å, 90.00 90.00 90.00°
Fractional positions:
Cd  0.0000  0.0000  0.0000
Cd  0.0000  0.5000  0.2500
Cd  0.5000  0.0000  0.7500
Cd  0.5000  0.5000  0.5000
As  0.0000  0.0000  0.5000
As  0.0000  0.5000  0.7500
As  0.5000  0.0000  0.2500
As  0.5000  0.5000  0.0000
F  0.2268  0.7500  0.6250
F  0.2500  0.2268  0.3750
F  0.2500  0.2732  0.8750
F  0.2732  0.7500  0.1250
F  0.7268  0.2500  0.1250
F  0.7500  0.7268  0.8750
F  0.7500  0.7732  0.3750
F  0.7732  0.2500  0.6250

***

Entry B
## CdAsF2 (PBE-GGA)

Data for CdAsF2 after structural relaxation.

Values from the calculation:
As for the crystal system: trigonal. The density is 5.70 Mg/m³.

Cell: 3.0396 3.0396 24.6184 Å, 90.00 90.00 120.00°
Fractional positions:
Cd  0.0000  0.0000  0.0000
Cd  0.3333  0.6667  0.6667
Cd  0.6667  0.3333  0.3333
As  0.0000  0.0000  0.5000
As  0.3333  0.6667  0.1667
As  0.6667  0.3333  0.8333
F  0.0000  0.0000  0.4202
F  0.0000  0.0000  0.5798
F  0.3333  0.6667  0.0868
F  0.3333  0.6667  0.2465
F  0.6667  0.3333  0.7535
F  0.6667  0.3333  0.9132

***

Which structure is the most stable? The one labeled entry B.